# 1
Density functional theory data (meta-GGA SCAN) for a crystal of CsBeCuSi2 relaxed with PBEsol.

Calculated values
Magnetic moment (Bohr magnetons per cell): 0.000
DOS(E_F) (states/eV per atom): 0.580
Uncorrected formation energy (meV/atom): 1178
Total energy (Ry per atom): -1.0511

Cell and atoms, written as CIF:
```
data_CsBeCuSi2
_chemical_formula_sum 'Cs1 Be1 Cu1 Si2'
_space_group_name_H-M_alt 'P 4/m m m'
_space_group_IT_number 123
_space_group_name_Hall '-P 4 2'
_cell_length_a 4.4764
_cell_length_b 4.4764
_cell_length_c 6.3333
_cell_angle_alpha 90.00
_cell_angle_beta 90.00
_cell_angle_gamma 90.00
loop_
_atom_site_label
_atom_site_fract_x
_atom_site_fract_y
_atom_site_fract_z
Cs1 0.0000 0.0000 0.0000
Be1 0.5000 0.5000 0.0000
Cu1 0.0000 0.0000 0.5000
Si1 0.0000 0.5000 0.5000
```


# 2
Density functional theory data (meta-GGA SCAN) for a crystal of CsBeF3 relaxed with PBEsol.

Calculated values
Magnetic moment (Bohr magnetons per cell): 0.006
DOS(E_F) (states/eV per atom): 0.000
Uncorrected formation energy (meV/atom): -3347
Total energy (Ry per atom): -1.0219

Cell and atoms, written as CIF:
```
data_CsBeF3
_chemical_formula_sum 'Cs4 Be4 F12'
_space_group_name_H-M_alt 'P n m a'
_space_group_IT_number 62
_cell_length_a 4.8098
_cell_length_b 5.9802
_cell_length_c 12.5323
_cell_angle_alpha 90.00
_cell_angle_beta 90.00
_cell_angle_gamma 90.00
loop_
_space_group_symop_operation_xyz
'x,y,z'
'-x,-y,-z'
'-x+1/2,-y,z+1/2'
'x+1/2,y,-z+1/2'
'x+1/2,-y+1/2,-z+1/2'
'-x+1/2,y+1/2,z+1/2'
'-x,y+1/2,-z'
'x,-y+1/2,z'
loop_
_atom_site_label
_atom_site_fract_x
_atom_site_fract_y
_atom_site_fract_z
Cs1 0.2393 0.2500 0.1026
Be1 0.1886 0.7500 0.3212
F1 0.1338 0.2500 0.7137
F2 0.2433 0.5358 0.3838
```


# 3
Density functional theory data (meta-GGA SCAN) for a crystal of CsBeF2 relaxed with PBEsol.

Calculated values
Magnetic moment (Bohr magnetons per cell): 0.003
DOS(E_F) (states/eV per atom): 0.244
Uncorrected formation energy (meV/atom): -2242
Total energy (Ry per atom): -1.0696

Cell and atoms, written as CIF:
```
data_CsBeF2
_chemical_formula_sum 'Cs3 Be3 F6'
_space_group_name_H-M_alt 'R -3 m'
_space_group_IT_number 166
_space_group_name_Hall '-R 3 2"'
_cell_length_a 4.5578
_cell_length_b 4.5578
_cell_length_c 17.9622
_cell_angle_alpha 90.00
_cell_angle_beta 90.00
_cell_angle_gamma 120.00
loop_
_atom_site_label
_atom_site_fract_x
_atom_site_fract_y
_atom_site_fract_z
Cs1 0.0000 0.0000 0.0000
Be1 0.0000 0.0000 0.5000
F1 0.0000 0.0000 0.4191
```